A plane-wave DFT calculation with PBE was carried out for a geometry-optimized CsErCuO3 structure.

As for the crystal system: monoclinic. The formation energy (no corrections) comes out at -1958 meV per atom. The total magnetization is 1.0 μB/f.u. As for the space group: P2_1/m. As for the calculated density: 5.7 Mg/m³.

Lattice parameters (Å, degrees): 3.6166 7.9186 9.0142 112.58 90.00 90.00
Last column: nearest neighbours and their distance in Å.
Atoms (fractional coordinates):
Cs 0.2500 0.2185 0.2137  5 O 3.02-3.24
Cs 0.7500 0.7815 0.7863  5 O 3.02-3.24
Er 0.2500 0.6690 0.1355  6 O 2.20-2.33
Er 0.7500 0.3310 0.8645  6 O 2.20-2.33
Cu 0.2500 0.0495 0.6269  4 O 1.93-1.97
Cu 0.7500 0.9505 0.3731  4 O 1.93-1.97
O 0.7500 0.8562 0.1409  1 Cu 1.93
O 0.2500 0.1438 0.8591  1 Cu 1.93
O 0.2500 0.8730 0.4027  3 Cu 1.96-1.97
O 0.7500 0.1270 0.5973  3 Cu 1.96-1.97
O 0.7500 0.4826 0.1263  3 Er 2.20-2.32
O 0.2500 0.5174 0.8737  3 Er 2.20-2.32